Entry w
Density functional theory data (PBE) for a relaxed structure of LiIn4Ag4.

Cell: 5.9121 9.3804 15.5425 Å, 90.00 90.00 90.00°
Last column: nearest neighbours and their distance in Å.
Space group Fmm2 (No. 42)
One atom of each set of equivalent atoms:
1 Li 0.0000 0.0000 0.0000  4 Ag 2.77-2.82, 4 In 2.88-2.95
2 In 0.0000 0.2404 0.4006  5 Ag 2.84-2.97, 1 Li 2.88, 2 In 2.96
3 In 0.2489 0.0000 0.6636  5 Ag 2.81-3.01, 2 In 2.94-2.97, 1 Li 2.95
4 Ag 0.0000 0.2471 0.5917  1 Li 2.77, 2 Ag 2.96, 5 In 2.96-3.01
5 Ag 0.2464 0.0000 0.8447  5 In 2.81-2.97, 1 Li 2.82, 2 Ag 2.91-3.00

Computed properties:
The density is 6.9 g cm⁻³.

=====

Entry x
Density functional theory data (PBE) for a relaxed structure of LiIn4Ag4.

Cell: 9.2066 9.2066 4.3845 Å, 90.00 90.00 90.00°
Last column: nearest neighbours and their distance in Å.
Space group I4/mmm (No. 139)
One atom of each set of equivalent atoms:
1 Li 0.0000 0.0000 0.0000  8 In 3.09, 4 Ag 3.12
2 In 0.1670 0.1670 0.5000  6 Ag 3.07-3.11, 4 In 3.08, 2 Li 3.09
3 Ag 0.0000 0.3388 0.0000  5 Ag 2.97-3.04, 6 In 3.07-3.11, 1 Li 3.12

Computed properties:
The density is 8.0 g cm⁻³.

=====

Unit: eV/atom. Relative energies: entry w 0.114; entry x 0.000.

=====

Entry w
Density functional theory data (PBE) for a relaxed structure of Li3In4Ag2.

Cell: 8.3114 4.7863 8.9395 Å, 90.00 90.19 90.00°
Last column: nearest neighbours and their distance in Å.
Space group C2/m (No. 12)
One atom of each set of equivalent atoms:
1 Li 0.0000 0.0000 0.0000  8 In 2.93-2.99
2 Li 0.1668 0.5000 0.5534  1 Ag 2.84, 3 Li 2.93, 4 In 2.94-3.01
3 In 0.0003 0.0000 0.3345  3 Ag 2.90, 4 Li 2.94-2.99, 1 In 2.96
4 In 0.1663 0.5000 0.8902  4 Li 2.93-3.01, 4 Ag 2.99-3.09
5 Ag 0.1672 0.5000 0.2360  1 Li 2.84, 7 In 2.90-3.09

Computed properties:
The density is 6.5 g cm⁻³.

=====

Entry x
Density functional theory data (PBE) for a relaxed structure of Li3In4Ag2.

Cell: 9.0617 4.8822 9.1498 Å, 90.00 112.50 90.00°
Last column: nearest neighbours and their distance in Å.
Space group C2/m (No. 12)
One atom of each set of equivalent atoms:
1 Li 0.0000 0.0000 0.0000  8 In 2.90-3.08
2 Li 0.1599 0.5000 0.6798  3 In 2.90-2.97, 4 Ag 2.91-3.06
3 In 0.0192 0.0000 0.3372  4 Ag 2.86-3.09, 4 Li 2.90-3.02, 2 In 3.13
4 In 0.1858 0.5000 0.0563  1 Ag 2.89, 3 Li 2.90-3.08, 4 In 3.05-3.13
5 Ag 0.1956 0.5000 0.3763  5 In 2.86-3.09, 4 Li 2.91-3.06

Computed properties:
The density is 6.2 g cm⁻³.

=====

Unit: eV/atom. Relative energies: entry w 0.000; entry x 0.034.